Density functional theory data (PBE+U) for a geometry-optimized NaGdMn4O12 structure.

As for the volume: 11.65 Å³ per atom. As for the electronic total energy: -7.053 eV/atom.

The structure belongs to space group Amm2 (No. 38); the cell edges are 7.467, 7.336 and 7.657 Å and the angles 90.00°, 90.00° and 90.00°. Symmetry generates all atoms from Na at (0.000, 0.000, 0.000), Gd at (0.500, 0.000, 0.481), Mn at (0.241, 0.250, 0.241), O at (0.000, 0.180, 0.238), O at (0.181, 0.000, 0.769), O at (0.263, 0.216, 0.492), O at (0.317, 0.000, 0.227) and O at (0.500, 0.186, 0.740).